(1)
The following is a PBE-GGA calculation of CsSr2PuO5 after structural relaxation, from Alexandria via LeMat-Bulk.

Cell lengths 7.0441, 7.0441, 7.0441 Å; angles 143.82, 124.85, 67.75 degrees
Closest atoms and distances in Å follow each position.
Sites, in units of the cell vectors:
1 Cs 0.0000 0.0000 0.0000  10 O 3.26-3.29
2 Sr 0.2765 0.7765 0.5000  3 O 2.47-2.61
3 Sr 0.7235 0.2235 0.5000  3 O 2.47-2.61
4 Pu 0.5000 0.5000 0.0000  6 O 2.13-2.19
5 O 0.1474 0.3626 0.7848  1 Pu 2.13
6 O 0.4222 0.6374 0.7848  1 Pu 2.13
7 O 0.5000 0.0000 0.5000  2 Pu 2.19
8 O 0.5778 0.3626 0.2152  1 Pu 2.13
9 O 0.8526 0.6374 0.2152  1 Pu 2.13

Summary:
calculated total energy = -7.454 eV per atom
formation energy from raw total energies = -2.64 eV per atom
symmetry = Immm (71)


(2)
The following is a PBE-GGA calculation of GdGa5 after structural relaxation, from Alexandria via LeMat-Bulk.

Cell lengths 6.5087, 6.5087, 4.4255 Å; angles 90.00, 90.00, 141.41 degrees
Closest atoms and distances in Å follow each position.
Sites, in units of the cell vectors:
1 Gd 0.0000 0.0000 0.0000  12 Ga 3.07-3.10
2 Ga 0.1730 0.8270 0.5000  10 Ga 2.85-3.09, 2 Gd 3.07
3 Ga 0.3187 0.6813 0.0000  4 Ga 2.73-2.85
4 Ga 0.5000 0.5000 0.5000  8 Ga 3.02-3.14, 4 Gd 3.09
5 Ga 0.6813 0.3187 0.0000  4 Ga 2.73-2.85
6 Ga 0.8270 0.1730 0.5000  10 Ga 2.85-3.09, 2 Gd 3.07

Summary:
calculated total energy = -5.179 eV per atom
symmetry = Cmmm (65)
energy relative to the elements = -0.310 eV per atom


(3)
The following is a PBE-GGA calculation of LaNiAg2 after structural relaxation, from Alexandria via LeMat-Bulk.

Cell lengths 5.3483, 5.3483, 7.8117 Å; angles 90.00, 90.00, 132.53 degrees
Closest atoms and distances in Å follow each position.
Sites, in units of the cell vectors:
1 La 0.0627 0.9373 0.7500  3 Ni 2.77-3.03
2 La 0.9373 0.0627 0.2500  3 Ni 2.77-3.03
3 Ni 0.2202 0.7798 0.2500  6 Ag 2.72-2.73, 3 La 2.77-3.03
4 Ni 0.7798 0.2202 0.7500  6 Ag 2.72-2.73, 3 La 2.77-3.03
5 Ag 0.3521 0.6479 0.5560  3 Ni 2.72-2.73, 2 Ag 3.03
6 Ag 0.3521 0.6479 0.9440  3 Ni 2.72-2.73, 2 Ag 3.03
7 Ag 0.6479 0.3521 0.0560  3 Ni 2.72-2.73, 2 Ag 3.03
8 Ag 0.6479 0.3521 0.4440  3 Ni 2.72-2.73, 2 Ag 3.03

Summary:
calculated total energy = -4.337 eV per atom
symmetry = Cmcm (63)
energy relative to the elements = -0.234 eV per atom


(4)
The following is a PBE-GGA calculation of Ac5La5Pr2 after structural relaxation, from Alexandria via LeMat-Bulk.

Cell lengths 8.5812, 8.5812, 12.1615 Å; angles 115.05, 115.05, 36.92 degrees
Closest atoms and distances in Å follow each position.
Sites, in units of the cell vectors:
1 Ac 0.0000 0.0000 0.0000  2 Pr 3.80, 8 La 3.82-3.84, 2 Ac 3.86
2 Ac 0.1622 0.1622 0.4971  5 La 3.80-3.96, 2 Pr 3.80-3.87, 5 Ac 3.89-3.92
3 Ac 0.2521 0.2521 0.2471  6 La 3.79-3.91, 2 Pr 3.82, 4 Ac 3.86-3.92
4 Ac 0.7479 0.7479 0.7529  6 La 3.79-3.91, 2 Pr 3.82, 4 Ac 3.86-3.92
5 Ac 0.8378 0.8378 0.5029  5 La 3.80-3.96, 2 Pr 3.80-3.87, 5 Ac 3.89-3.92
6 La 0.3331 0.3331 0.9994  5 Ac 3.79-3.84, 4 La 3.79-3.85, 3 Pr 3.81
7 La 0.4207 0.4207 0.7527  3 La 3.79-3.85, 2 Pr 3.79, 7 Ac 3.82-3.96
8 La 0.5000 0.5000 0.5000  6 Ac 3.80-3.83, 2 La 3.83, 4 Pr 3.88
9 La 0.5793 0.5793 0.2473  3 La 3.79-3.85, 2 Pr 3.79, 7 Ac 3.82-3.96
10 La 0.6669 0.6669 0.0006  5 Ac 3.79-3.84, 4 La 3.79-3.85, 3 Pr 3.81
11 Pr 0.0839 0.0839 0.7546  7 La 3.79-3.88, 5 Ac 3.80-3.87
12 Pr 0.9161 0.9161 0.2454  7 La 3.79-3.88, 5 Ac 3.80-3.87

Summary:
calculated total energy = -4.539 eV per atom
symmetry = C2/m (12)
energy relative to the elements = 0.022 eV per atom


- Which of these has the highest calculated total energy?
  LaNiAg2